VASP calculation (PBE) on MnIn2Pd3 after structural relaxation.

Unit cell a=3.260 b=3.260 c=9.576 alpha=90.00 beta=90.00 gamma=90.00
Element x y z (fractional)
Mn (0.000, 0.000, 0.000)
In (0.000, 0.000, 0.325)
In (0.000, 0.000, 0.675)
Pd (0.500, 0.500, 0.153)
Pd (0.500, 0.500, 0.500)
Pd (0.500, 0.500, 0.847)

## Properties
Formation energy from the elements = -38.3 kJ/mol of atoms
Polymorph energy (0 for the lowest one) = 7 meV per atom
N(E_F) = 2.85 states/eV/cell